Material: La5Sm5Ho
Method: DFT, PBE-GGA
State: optimized geometry

The energy of formation from the pure elements is 0.23 eV/atom. As for the size of the total moment: 0.004 μB/f.u.

The space group is C2/m (No. 12) and the conventional cell measures 19.274, 6.149 and 7.138 Å, with angles of 90.00, 111.48 and 90.00 degrees. The inequivalent atoms are La at (0.000, 0.000, 0.000), La at (0.174, 0.500, 0.418), La at (0.174, 0.500, 0.930), Sm at (0.000, 0.500, 0.500), Sm at (0.123, 0.000, 0.625), Sm at (0.168, 0.000, 0.170) and Ho at (0.000, 0.500, 0.000).

=====

Material: SrNd2Y
Method: DFT, PBE-GGA
State: optimized geometry

The energy of formation from the pure elements is 0.09 eV/atom. As for the size of the total moment: 0.000 μB/f.u.

The space group is R3m (No. 160, hexagonal axes) and the conventional cell measures 3.7433, 3.7433 and 37.2495 Å, with angles of 90.00, 90.00 and 120.00 degrees. The inequivalent atoms are Sr at (0.0000, 0.0000, 0.0000), Nd at (0.0000, 0.0000, 0.5769), Nd at (0.0000, 0.0000, 0.7564) and Y at (0.0000, 0.0000, 0.1664).

=====

Material: LaTbInGa
Method: DFT, PBE-GGA
State: optimized geometry

The energy of formation from the pure elements is -0.54 eV/atom. As for the size of the total moment: 0.000 μB/f.u.

The space group is P4mm (No. 99) and the conventional cell measures 3.733, 3.733 and 7.701 Å, with angles of 90.00, 90.00 and 90.00 degrees. The inequivalent atoms are La at (0.000, 0.000, 0.000), Tb at (0.000, 0.000, 0.471), In at (0.500, 0.500, 0.718) and Ga at (0.500, 0.500, 0.255).

=====

Material: FeCu2W
Method: DFT, PBE-GGA
State: optimized geometry

The energy of formation from the pure elements is 0.35 eV/atom. As for the size of the total moment: 0.479 μB/f.u.

The space group is Pmmm (No. 47) and the conventional cell measures 3.089, 3.835 and 4.298 Å, with angles of 90.00, 90.00 and 90.00 degrees. The inequivalent atoms are Fe at (0.000, 0.000, 0.000), Cu at (0.000, 0.500, 0.500), Cu at (0.500, 0.000, 0.500) and W at (0.500, 0.500, 0.000).

=====

Material: Rb2As3Pd5
Method: DFT, PBE-GGA
State: optimized geometry

The energy of formation from the pure elements is -0.29 eV/atom. As for the size of the total moment: 0.000 μB/f.u.

The space group is Ibam (No. 72) and the conventional cell measures 10.434, 13.007 and 6.463 Å, with angles of 90.00, 90.00 and 90.00 degrees. The inequivalent atoms are Rb at (0.243, 0.132, 0.000), As at (0.000, 0.000, 0.250), As at (0.120, 0.381, 0.000), Pd at (0.000, 0.274, 0.250), Pd at (0.000, 0.500, 0.250) and Pd at (0.112, 0.115, 0.500).

=====

Material: Pm6Al2Hg
Method: DFT, PBE-GGA
State: optimized geometry

The energy of formation from the pure elements is -0.06 eV/atom. As for the size of the total moment: 0.001 μB/f.u.

The space group is C2/m (No. 12) and the conventional cell measures 16.311, 7.385 and 5.143 Å, with angles of 90.00, 108.29 and 90.00 degrees. The inequivalent atoms are Pm at (0.000, 0.245, 0.000), Pm at (0.168, 0.249, 0.668), Al at (0.167, 0.000, 0.167) and Hg at (0.000, 0.500, 0.500).

=====

Material: AcTb12Tm7
Method: DFT, PBE-GGA
State: optimized geometry

The energy of formation from the pure elements is 0.24 eV/atom. As for the size of the total moment: 0.000 μB/f.u.

The space group is R-3 (No. 148, hexagonal axes) and the conventional cell measures 12.0597, 12.0597 and 15.6019 Å, with angles of 90.00, 90.00 and 120.00 degrees. The inequivalent atoms are Ac at (0.0000, 0.0000, 0.0000), Tb at (0.0085, 0.5692, 0.7147), Tb at (0.0529, 0.4630, 0.0853), Tm at (0.0000, 0.0000, 0.5000) and Tm at (0.0470, 0.8586, 0.7981).

=====

Material: TlCd3Hg10
Method: DFT, PBE-GGA
State: optimized geometry

The energy of formation from the pure elements is 0.03 eV/atom. As for the size of the total moment: 0.000 μB/f.u.

The space group is Fm-3m (No. 225) and the conventional cell measures 14.827, 14.827 and 14.827 Å, with angles of 90.00, 90.00 and 90.00 degrees. The inequivalent atoms are Tl at (0.250, 0.250, 0.250), Cd at (0.000, 0.000, 0.217), Hg at (0.000, 0.171, 0.329) and Hg at (0.132, 0.132, 0.132).

=====

Material: YMnRh
Method: DFT, PBE-GGA
State: optimized geometry

The energy of formation from the pure elements is -0.15 eV/atom. As for the size of the total moment: 4.432 μB/f.u.

The space group is F-43m (No. 216) and the conventional cell measures 6.427, 6.427 and 6.427 Å, with angles of 90.00, 90.00 and 90.00 degrees. The inequivalent atoms are Y at (0.000, 0.000, 0.000), Mn at (0.000, 0.000, 0.500) and Rh at (0.250, 0.250, 0.750).

=====

Material: ErSiPt2
Method: DFT, PBE-GGA
State: optimized geometry

For the energy relative to the elements, uncorrected, the calculation gives -997 meV/atom. As for the size of the total moment: 0.000 μB/f.u.

The space group is R-3m (No. 166, hexagonal axes) and the conventional cell measures 4.2169, 4.2169 and 14.5772 Å, with angles of 90.00, 90.00 and 120.00 degrees. The inequivalent atoms are Er at (0.0000, 0.0000, 0.0000), Si at (0.0000, 0.0000, 0.5000) and Pt at (0.0000, 0.0000, 0.2115).

=====

Material: Pm3Tl2Ir
Method: DFT, PBE-GGA
State: optimized geometry

The energy of formation from the pure elements is -0.42 eV/atom. As for the size of the total moment: 0.000 μB/f.u.

The space group is Cmmm (No. 65) and the conventional cell measures 5.505, 16.720 and 3.831 Å, with angles of 90.00, 90.00 and 90.00 degrees. The inequivalent atoms are Pm at (0.000, 0.000, 0.000), Pm at (0.000, 0.371, 0.500), Tl at (0.000, 0.195, 0.000) and Ir at (0.000, 0.500, 0.000).

=====

Material: NdLuRuPt
Method: DFT, PBE-GGA
State: optimized geometry

The energy of formation from the pure elements is -0.70 eV/atom. As for the size of the total moment: 0.002 μB/f.u.

The space group is F-43m (No. 216) and the conventional cell measures 6.942, 6.942 and 6.942 Å, with angles of 90.00, 90.00 and 90.00 degrees. The inequivalent atoms are Nd at (0.000, 0.000, 0.000), Lu at (0.000, 0.000, 0.500), Ru at (0.250, 0.250, 0.250) and Pt at (0.250, 0.250, 0.750).

=====

Material: Ga3BiI
Method: DFT, PBE-GGA
State: optimized geometry

For the energy relative to the elements, uncorrected, the calculation gives 324 meV/atom. As for the size of the total moment: 0.000 μB/f.u.

The space group is Pm-3m (No. 221) and the conventional cell measures 5.783, 5.783 and 5.783 Å, with angles of 90.00, 90.00 and 90.00 degrees. The inequivalent atoms are Ga at (0.000, 0.000, 0.500), Bi at (0.000, 0.000, 0.000) and I at (0.500, 0.500, 0.500).

=====

Material: Pu3ScSb4
Method: DFT, PBE-GGA
State: optimized geometry

For the energy relative to the elements, uncorrected, the calculation gives -654 meV/atom. As for the size of the total moment: 5.174 μB/f.u.

The space group is P2/c (No. 13) and the conventional cell measures 7.542, 8.728 and 7.565 Å, with angles of 90.00, 109.53 and 90.00 degrees. The inequivalent atoms are Pu at (0.000, 0.124, 0.250), Pu at (0.000, 0.373, 0.750), Pu at (0.500, 0.373, 0.250), Sc at (0.500, 0.124, 0.750), Sb at (0.256, 0.370, 0.505) and Sb at (0.262, 0.118, 0.001).

=====

Material: CaFe2Ru2
Method: DFT, PBE-GGA
State: optimized geometry

The energy of formation from the pure elements is 0.29 eV/atom. As for the size of the total moment: 0.007 μB/f.u.

The space group is P4/mbm (No. 127) and the conventional cell measures 7.359, 7.359 and 2.682 Å, with angles of 90.00, 90.00 and 90.00 degrees. The inequivalent atoms are Ca at (0.000, 0.000, 0.000), Fe at (0.115, 0.385, 0.000) and Ru at (0.172, 0.672, 0.500).

=====

Material: Nb3Sn
Method: DFT, PBE-GGA
State: optimized geometry

The energy of formation from the pure elements is -0.02 eV/atom. As for the size of the total moment: 0.000 μB/f.u.

The space group is I4/mmm (No. 139) and the conventional cell measures 4.066, 4.066 and 9.241 Å, with angles of 90.00, 90.00 and 90.00 degrees. The inequivalent atoms are Nb at (0.000, 0.000, 0.000), Nb at (0.000, 0.500, 0.250) and Sn at (0.000, 0.000, 0.500).

=====

Material: BaGa12Pt6
Method: DFT, PBE-GGA
State: optimized geometry

The energy of formation from the pure elements is -0.60 eV/atom. As for the size of the total moment: 0.000 μB/f.u.

The space group is R-3m (No. 166, hexagonal axes) and the conventional cell measures 11.5190, 11.5190 and 8.9681 Å, with angles of 90.00, 90.00 and 120.00 degrees. The inequivalent atoms are Ba at (0.0000, 0.0000, 0.0000), Ga at (0.0000, 0.3877, 0.5000), Ga at (0.0861, 0.1722, 0.3209) and Pt at (0.0458, 0.5229, 0.2428).

=====

Material: UPa2Zn
Method: DFT, PBE-GGA
State: optimized geometry

The energy of formation from the pure elements is 0.13 eV/atom. As for the size of the total moment: 0.001 μB/f.u.

The space group is P4/mmm (No. 123) and the conventional cell measures 4.589, 4.589 and 4.121 Å, with angles of 90.00, 90.00 and 90.00 degrees. The inequivalent atoms are U at (0.000, 0.000, 0.000), Pa at (0.000, 0.500, 0.500) and Zn at (0.500, 0.500, 0.000).

=====

Material: ScRu2Pt
Method: DFT, PBE-GGA
State: optimized geometry

The energy of formation from the pure elements is -0.32 eV/atom. As for the size of the total moment: 0.000 μB/f.u.

The space group is Cm (No. 8) and the conventional cell measures 9.295, 2.852 and 4.793 Å, with angles of 90.00, 100.57 and 90.00 degrees. The inequivalent atoms are Sc at (0.000, 0.000, 0.000), Ru at (0.003, 0.500, 0.521), Ru at (0.242, 0.000, 0.703) and Pt at (0.254, 0.500, 0.230).

=====

Material: NbReP2Cl
Method: DFT, PBE-GGA
State: optimized geometry

For the energy relative to the elements, uncorrected, the calculation gives 1098 meV/atom. As for the size of the total moment: 4.861 μB/f.u.

The space group is P4/mmm (No. 123) and the conventional cell measures 4.889, 4.889 and 4.729 Å, with angles of 90.00, 90.00 and 90.00 degrees. The inequivalent atoms are Nb at (0.000, 0.000, 0.000), Re at (0.500, 0.500, 0.500), P at (0.000, 0.500, 0.000) and Cl at (0.000, 0.000, 0.500).